# AcSmCu (GGA-PBE, optimized geometry)
# Total DFT energy (no corrections)   -4.36 eV per atom
# ΔH_f (0 K)   -0.0517 eV per atom
# Volume   352.3 Å³/cell
# Energy relative to the lowest polymorph listed for this composition   0 meV per atom
data_AcSmCu
_space_group_name_H-M_alt 'P n m a'
_space_group_IT_number 62
_cell_length_a 7.027
_cell_length_b 5.255
_cell_length_c 9.540
_cell_angle_alpha 90.00
_cell_angle_beta 90.00
_cell_angle_gamma 90.00
loop_
_space_group_symop_operation_xyz
'x,y,z'
'-x,-y,-z'
'-x+1/2,-y,z+1/2'
'x+1/2,y,-z+1/2'
'x+1/2,-y+1/2,-z+1/2'
'-x+1/2,y+1/2,z+1/2'
'-x,y+1/2,-z'
'x,-y+1/2,z'
loop_
_atom_site_label
_atom_site_type_symbol
_atom_site_fract_x
_atom_site_fract_y
_atom_site_fract_z
Ac1 Ac 0.148 0.250 0.091
Sm1 Sm 0.002 0.250 0.672
Cu1 Cu 0.205 0.250 0.406

=====

# AcTmGe2 (GGA-PBE, optimized geometry)
# Total DFT energy (no corrections)   -4.91 eV per atom
# ΔH_f (0 K)   -0.4593 eV per atom
# Volume   104.3 Å³/cell
data_AcTmGe2
_space_group_name_H-M_alt 'P 4/m m m'
_space_group_IT_number 123
_space_group_name_Hall '-P 4 2'
_cell_length_a 5.495
_cell_length_b 5.495
_cell_length_c 3.455
_cell_angle_alpha 90.00
_cell_angle_beta 90.00
_cell_angle_gamma 90.00
loop_
_atom_site_label
_atom_site_type_symbol
_atom_site_fract_x
_atom_site_fract_y
_atom_site_fract_z
Ac1 Ac 0.000 0.000 0.000
Tm1 Tm 0.500 0.500 0.000
Ge1 Ge 0.000 0.500 0.500

=====

# Sm5Hg4Ge (GGA-PBE, optimized geometry)
# Total DFT energy (no corrections)   -3.45 eV per atom
# ΔH_f (0 K)   -0.5054 eV per atom
# Volume   267.4 Å³/cell
data_Sm5Hg4Ge
_space_group_name_H-M_alt 'P 4/m m m'
_space_group_IT_number 123
_space_group_name_Hall '-P 4 2'
_cell_length_a 3.741
_cell_length_b 3.741
_cell_length_c 19.112
_cell_angle_alpha 90.00
_cell_angle_beta 90.00
_cell_angle_gamma 90.00
loop_
_atom_site_label
_atom_site_type_symbol
_atom_site_fract_x
_atom_site_fract_y
_atom_site_fract_z
Sm1 Sm 0.000 0.000 0.000
Sm2 Sm 0.000 0.000 0.203
Sm3 Sm 0.000 0.000 0.407
Hg1 Hg 0.500 0.500 0.103
Hg2 Hg 0.500 0.500 0.302
Ge1 Ge 0.500 0.500 0.500

=====

# K2AlSe (GGA-PBE, optimized geometry)
# Total DFT energy (no corrections)   -2.48 eV per atom
# Volume   502.6 Å³/cell
# Energy relative to the lowest polymorph listed for this composition   347 meV per atom
# Formation energy from raw total energies   -11.7 kJ per mole of atoms
data_K2AlSe
_space_group_name_H-M_alt 'F -4 3 m'
_space_group_IT_number 216
_space_group_name_Hall 'F -4 2 3'
_cell_length_a 7.951
_cell_length_b 7.951
_cell_length_c 7.951
_cell_angle_alpha 90.00
_cell_angle_beta 90.00
_cell_angle_gamma 90.00
loop_
_atom_site_label
_atom_site_type_symbol
_atom_site_fract_x
_atom_site_fract_y
_atom_site_fract_z
K1 K 0.000 0.000 0.000
K2 K 0.250 0.250 0.250
Al1 Al 0.000 0.000 0.500
Se1 Se 0.250 0.250 0.750

=====

# RbTmP2O7 (GGA-PBE, optimized geometry)
# Total DFT energy (no corrections)   -7.35 eV per atom
# Volume   722.9 Å³/cell
# Formation energy from raw total energies   -262.4 kJ per mole of atoms
data_RbTmP2O7
_space_group_name_H-M_alt 'P 1 21/c 1'
_space_group_IT_number 14
_cell_length_a 7.852
_cell_length_b 10.933
_cell_length_c 8.758
_cell_angle_alpha 90.00
_cell_angle_beta 105.96
_cell_angle_gamma 90.00
loop_
_space_group_symop_operation_xyz
'x,y,z'
'-x,-y,-z'
'-x,y+1/2,-z+1/2'
'x,-y+1/2,z+1/2'
loop_
_atom_site_label
_atom_site_type_symbol
_atom_site_fract_x
_atom_site_fract_y
_atom_site_fract_z
Rb1 Rb 0.187 0.179 0.064
Tm1 Tm 0.236 0.600 0.253
P1 P 0.128 0.599 0.819
P2 P 0.432 0.633 0.687
O1 O 0.001 0.502 0.723
O2 O 0.078 0.728 0.750
O3 O 0.147 0.592 0.996
O4 O 0.322 0.564 0.797
O5 O 0.328 0.609 0.515
O6 O 0.386 0.072 0.767
O7 O 0.446 0.731 0.235

=====

# LaTmCdPt (GGA-PBE, optimized geometry)
# Total DFT energy (no corrections)   -4.75 eV per atom
# ΔH_f (0 K)   -0.6616 eV per atom
# Volume   398.0 Å³/cell
data_LaTmCdPt
_space_group_name_H-M_alt 'F -4 3 m'
_space_group_IT_number 216
_space_group_name_Hall 'F -4 2 3'
_cell_length_a 7.356
_cell_length_b 7.356
_cell_length_c 7.356
_cell_angle_alpha 90.00
_cell_angle_beta 90.00
_cell_angle_gamma 90.00
loop_
_atom_site_label
_atom_site_type_symbol
_atom_site_fract_x
_atom_site_fract_y
_atom_site_fract_z
La1 La 0.000 0.000 0.000
Tm1 Tm 0.000 0.000 0.500
Cd1 Cd 0.250 0.250 0.750
Pt1 Pt 0.250 0.250 0.250

=====

# SiSnS2N (GGA-PBE, optimized geometry)
# Total DFT energy (no corrections)   -5.17 eV per atom
# Volume   108.7 Å³/cell
# Energy relative to the lowest polymorph listed for this composition   358 meV per atom
# Formation energy from raw total energies   2.6 kJ per mole of atoms
data_SiSnS2N
_space_group_name_H-M_alt 'P 1 m 1'
_space_group_IT_number 6
_cell_length_a 5.339
_cell_length_b 3.575
_cell_length_c 6.249
_cell_angle_alpha 90.00
_cell_angle_beta 114.32
_cell_angle_gamma 90.00
loop_
_space_group_symop_operation_xyz
'x,y,z'
'x,-y,z'
loop_
_atom_site_label
_atom_site_type_symbol
_atom_site_fract_x
_atom_site_fract_y
_atom_site_fract_z
Si1 Si 0.000 0.000 0.000
Sn1 Sn 0.328 0.500 0.868
S1 S 0.453 0.000 0.607
S2 S 0.845 0.500 0.161
N1 N 0.785 0.000 0.708

=====

# BaLiTl2 (GGA-PBE, optimized geometry)
# Total DFT energy (no corrections)   -2.45 eV per atom
# ΔH_f (0 K)   -0.3079 eV per atom
# Volume   388.1 Å³/cell
data_BaLiTl2
_space_group_name_H-M_alt 'R 3 m'
_space_group_IT_number 160
_space_group_name_Hall 'R 3 -2"'
_cell_length_a 4.9082
_cell_length_b 4.9082
_cell_length_c 18.6013
_cell_angle_alpha 90.00
_cell_angle_beta 90.00
_cell_angle_gamma 120.00
loop_
_atom_site_label
_atom_site_type_symbol
_atom_site_fract_x
_atom_site_fract_y
_atom_site_fract_z
Ba1 Ba 0.0000 0.0000 0.0000
Li1 Li 0.0000 0.0000 0.1891
Tl1 Tl 0.0000 0.0000 0.5358
Tl2 Tl 0.0000 0.0000 0.7877

=====

# PmNdHo2Er (GGA-PBE, optimized geometry)
# Total DFT energy (no corrections)   -4.29 eV per atom
# ΔH_f (0 K)   0.3530 eV per atom
# Volume   684.4 Å³/cell
data_PmNdHo2Er
_space_group_name_H-M_alt 'C m c m'
_space_group_IT_number 63
_space_group_name_Hall '-C 2c 2'
_cell_length_a 6.413
_cell_length_b 16.659
_cell_length_c 6.406
_cell_angle_alpha 90.00
_cell_angle_beta 90.00
_cell_angle_gamma 90.00
loop_
_atom_site_label
_atom_site_type_symbol
_atom_site_fract_x
_atom_site_fract_y
_atom_site_fract_z
Pm1 Pm 0.000 0.157 0.250
Nd1 Nd 0.000 0.342 0.250
Ho1 Ho 0.250 0.000 0.000
Er1 Er 0.000 0.253 0.750

=====

# LaSc2Rh (GGA-PBE, optimized geometry)
# Total DFT energy (no corrections)   -6.43 eV per atom
# ΔH_f (0 K)   -0.1963 eV per atom
# Volume   183.2 Å³/cell
data_LaSc2Rh
_space_group_name_H-M_alt 'I 4/m m m'
_space_group_IT_number 139
_space_group_name_Hall '-I 4 2'
_cell_length_a 4.134
_cell_length_b 4.134
_cell_length_c 10.721
_cell_angle_alpha 90.00
_cell_angle_beta 90.00
_cell_angle_gamma 90.00
loop_
_atom_site_label
_atom_site_type_symbol
_atom_site_fract_x
_atom_site_fract_y
_atom_site_fract_z
La1 La 0.000 0.000 0.000
Sc1 Sc 0.000 0.500 0.250
Rh1 Rh 0.000 0.000 0.500

=====

# Pm3TlS2 (GGA-PBE, optimized geometry)
# Total DFT energy (no corrections)   -5.38 eV per atom
# Volume   635.8 Å³/cell
# Formation energy from raw total energies   -119.1 kJ per mole of atoms
data_Pm3TlS2
_space_group_name_H-M_alt 'C m c m'
_space_group_IT_number 63
_space_group_name_Hall '-C 2c 2'
_cell_length_a 5.020
_cell_length_b 12.859
_cell_length_c 9.851
_cell_angle_alpha 90.00
_cell_angle_beta 90.00
_cell_angle_gamma 90.00
loop_
_atom_site_label
_atom_site_type_symbol
_atom_site_fract_x
_atom_site_fract_y
_atom_site_fract_z
Pm1 Pm 0.000 0.105 0.250
Pm2 Pm 0.000 0.370 0.051
Tl1 Tl 0.000 0.222 0.750
S1 S 0.000 0.000 0.000
S2 S 0.000 0.471 0.750

=====

# TcSnGe2 (GGA-PBE, optimized geometry)
# Total DFT energy (no corrections)   -5.38 eV per atom
# ΔH_f (0 K)   0.5241 eV per atom
# Volume   419.7 Å³/cell
data_TcSnGe2
_space_group_name_H-M_alt 'I -4 2 d'
_space_group_IT_number 122
_space_group_name_Hall 'I -4 2bw'
_cell_length_a 5.974
_cell_length_b 5.974
_cell_length_c 11.759
_cell_angle_alpha 90.00
_cell_angle_beta 90.00
_cell_angle_gamma 90.00
loop_
_atom_site_label
_atom_site_type_symbol
_atom_site_fract_x
_atom_site_fract_y
_atom_site_fract_z
Tc1 Tc 0.000 0.000 0.000
Sn1 Sn 0.000 0.000 0.500
Ge1 Ge 0.196 0.250 0.125

=====

What did the tenth record say?
# LaSc2Rh (GGA-PBE, optimized geometry)
# Total DFT energy (no corrections)   -6.43 eV per atom
# ΔH_f (0 K)   -0.1963 eV per atom
# Volume   183.2 Å³/cell
data_LaSc2Rh
_space_group_name_H-M_alt 'I 4/m m m'
_space_group_IT_number 139
_space_group_name_Hall '-I 4 2'
_cell_length_a 4.134
_cell_length_b 4.134
_cell_length_c 10.721
_cell_angle_alpha 90.00
_cell_angle_beta 90.00
_cell_angle_gamma 90.00
loop_
_atom_site_label
_atom_site_type_symbol
_atom_site_fract_x
_atom_site_fract_y
_atom_site_fract_z
La1 La 0.000 0.000 0.000
Sc1 Sc 0.000 0.500 0.250
Rh1 Rh 0.000 0.000 0.500

=====

Copy entry 9 word for word.
# PmNdHo2Er (GGA-PBE, optimized geometry)
# Total DFT energy (no corrections)   -4.29 eV per atom
# ΔH_f (0 K)   0.3530 eV per atom
# Volume   684.4 Å³/cell
data_PmNdHo2Er
_space_group_name_H-M_alt 'C m c m'
_space_group_IT_number 63
_space_group_name_Hall '-C 2c 2'
_cell_length_a 6.413
_cell_length_b 16.659
_cell_length_c 6.406
_cell_angle_alpha 90.00
_cell_angle_beta 90.00
_cell_angle_gamma 90.00
loop_
_atom_site_label
_atom_site_type_symbol
_atom_site_fract_x
_atom_site_fract_y
_atom_site_fract_z
Pm1 Pm 0.000 0.157 0.250
Nd1 Nd 0.000 0.342 0.250
Ho1 Ho 0.250 0.000 0.000
Er1 Er 0.000 0.253 0.750

=====

- What is the volume in the eighth record?
  388.1 Å³/cell